P:
# Pr7NdSm4, optimized geometry, DFT PBE
# * symmetry: P-1, No. 2
data_Pr7NdSm4
_chemical_formula_sum 'Pr7 Nd1 Sm4'
_space_group_name_H-M_alt 'P 1'
_space_group_IT_number 1
_cell_length_a 7.410
_cell_length_b 9.815
_cell_length_c 9.185
_cell_angle_alpha 81.14
_cell_angle_beta 89.95
_cell_angle_gamma 40.99
loop_
_space_group_symop_operation_xyz
'x,y,z'
loop_
_atom_site_label
_atom_site_fract_x
_atom_site_fract_y
_atom_site_fract_z
_atom_site_occupancy
Pr1 0.752 0.500 0.001 1
Pr2 0.248 0.500 0.999 1
Pr3 0.972 0.280 0.666 1
Pr4 0.028 0.720 0.334 1
Pr5 0.222 0.779 0.667 1
Pr6 0.500 0.000 0.000 1
Pr7 0.778 0.221 0.333 1
Nd1 0.000 0.000 0.000 1
Sm1 0.530 0.721 0.332 1
Sm2 0.470 0.279 0.668 1
Sm3 0.720 0.781 0.667 1
Sm4 0.280 0.219 0.333 1

---

Q:
# Pr7NdSm4, optimized geometry, DFT PBE
# * symmetry: C2/m, No. 12
data_Pr7NdSm4
_chemical_formula_sum 'Pr7 Nd1 Sm4'
_space_group_name_H-M_alt 'P 1'
_space_group_IT_number 1
_cell_length_a 6.136
_cell_length_b 9.958
_cell_length_c 8.769
_cell_angle_alpha 60.88
_cell_angle_beta 69.52
_cell_angle_gamma 72.05
loop_
_space_group_symop_operation_xyz
'x,y,z'
loop_
_atom_site_label
_atom_site_fract_x
_atom_site_fract_y
_atom_site_fract_z
_atom_site_occupancy
Pr1 0.788 0.879 0.545 1
Pr2 0.212 0.121 0.455 1
Pr3 0.083 0.557 0.276 1
Pr4 0.917 0.443 0.724 1
Pr5 0.210 0.771 0.810 1
Pr6 0.500 0.000 0.000 1
Pr7 0.790 0.229 0.190 1
Nd1 0.000 0.000 0.000 1
Sm1 0.572 0.303 0.552 1
Sm2 0.428 0.697 0.448 1
Sm3 0.672 0.612 0.045 1
Sm4 0.328 0.388 0.955 1

---

The relative energies come out as P 0; Q 183, with values in meV/atom.